Material: Pm2ScAl4Pd3
Method: DFT, PBE-GGA
State: relaxed

Cell: 4.2199 4.2199 11.4241 Å, 90.00 90.00 90.00°
Closest atoms and distances in Å follow each position.
Positions (direct):
1 Pd 0.0000 0.0000 0.5000  4 Al 2.78, 4 Sc 2.98
2 Pd 0.0000 0.5000 0.1240  5 Al 2.49-2.54
3 Pd 0.5000 0.0000 0.8760  5 Al 2.49-2.54
4 Sc 0.5000 0.5000 0.5000  4 Al 2.78, 4 Pd 2.98
5 Al 0.0000 0.5000 0.3417  3 Pd 2.49-2.78, 2 Sc 2.78
6 Al 0.0000 0.0000 0.0000  4 Pd 2.54
7 Al 0.5000 0.0000 0.6583  3 Pd 2.49-2.78, 2 Sc 2.78
8 Al 0.5000 0.5000 0.0000  4 Pd 2.54
9 Pm 0.0000 0.5000 0.7642  8 Al 3.22-3.42, 4 Pd 3.25
10 Pm 0.5000 0.0000 0.2358  8 Al 3.22-3.42, 4 Pd 3.25

Calculated values
- ΔE_f (eV/atom) = -0.72
- total energy (eV/atom) = -5.355

Material: Pm2AlSi4Pd3
Method: DFT, PBE-GGA
State: relaxed

Cell: 4.1525 4.1525 10.4174 Å, 90.00 90.00 90.00°
Closest atoms and distances in Å follow each position.
Positions (direct):
1 Pd 0.0000 0.5000 0.1236  5 Si 2.42-2.44
2 Pd 0.0000 0.0000 0.5000  4 Si 2.56
3 Pd 0.5000 0.0000 0.8764  5 Si 2.42-2.44
4 Si 0.5000 0.0000 0.6437  3 Pd 2.42-2.56, 2 Al 2.56
5 Si 0.0000 0.5000 0.3563  3 Pd 2.42-2.56, 2 Al 2.56
6 Si 0.5000 0.5000 0.0000  4 Pd 2.44
7 Si 0.0000 0.0000 0.0000  4 Pd 2.44
8 Pm 0.5000 0.0000 0.2447  8 Si 3.16-3.29, 6 Pd 3.20-3.37, 2 Al 3.37
9 Pm 0.0000 0.5000 0.7553  8 Si 3.16-3.29, 6 Pd 3.20-3.37, 2 Al 3.37
10 Al 0.5000 0.5000 0.5000  4 Si 2.56

Calculated values
- total energy (eV/atom) = -5.891

Material: Pm3AlSi2Pd9
Method: DFT, PBE-GGA
State: relaxed

Cell: 6.3378 6.3378 8.8301 Å, 90.00 90.00 120.00°
Closest atoms and distances in Å follow each position.
Positions (direct):
1 Pd 0.7081 0.8540 0.2865  1 Si 2.28, 1 Al 2.47
2 Pd 0.2919 0.1460 0.7135  1 Si 2.28, 1 Al 2.47
3 Pd 0.5000 0.5000 0.0000  2 Si 2.40
4 Pd 0.1460 0.8540 0.2865  1 Si 2.28, 1 Al 2.47
5 Pd 0.8540 0.1460 0.7135  1 Si 2.28, 1 Al 2.47
6 Pd 0.8540 0.7081 0.7135  1 Si 2.28, 1 Al 2.47
7 Pd 0.0000 0.5000 0.0000  2 Si 2.40
8 Pd 0.1460 0.2919 0.2865  1 Si 2.28, 1 Al 2.47
9 Pd 0.5000 0.0000 0.0000  2 Si 2.40
10 Al 0.0000 0.0000 0.5000  6 Pd 2.47
11 Pm 0.6667 0.3333 0.3203  9 Pd 3.19-3.37
12 Pm 0.0000 0.0000 0.0000  12 Pd 2.99-3.17
13 Pm 0.3333 0.6667 0.6797  9 Pd 3.19-3.37
14 Si 0.6667 0.3333 0.8245  6 Pd 2.28-2.40
15 Si 0.3333 0.6667 0.1755  6 Pd 2.28-2.40

Calculated values
- total energy (eV/atom) = -5.702

Material: PmAlSiPd
Method: DFT, PBE-GGA
State: relaxed

Cell: 4.7716 4.7716 4.7716 Å, 60.00 60.00 60.00°
Closest atoms and distances in Å follow each position.
Positions (direct):
1 Pm 0.5000 0.5000 0.5000  4 Pd 2.92, 4 Si 2.92
2 Si 0.2500 0.2500 0.2500  4 Al 2.92, 4 Pm 2.92
3 Al 0.0000 0.0000 0.0000  4 Pd 2.92, 4 Si 2.92
4 Pd 0.7500 0.7500 0.7500  4 Al 2.92, 4 Pm 2.92

Calculated values
- total energy (eV/atom) = -5.232

Material: Pm2AlSi3Pd4
Method: DFT, PBE-GGA
State: relaxed

Cell: 4.2411 4.2411 10.0926 Å, 90.00 90.00 90.00°
Closest atoms and distances in Å follow each position.
Positions (direct):
1 Si 0.0000 0.0000 0.5000  4 Pd 2.50
2 Si 0.0000 0.5000 0.1283  5 Pd 2.42-2.48
3 Si 0.5000 0.0000 0.8717  5 Pd 2.42-2.48
4 Pd 0.5000 0.5000 0.0000  4 Si 2.48
5 Pd 0.0000 0.5000 0.3679  3 Si 2.42-2.50, 2 Al 2.50
6 Pd 0.5000 0.0000 0.6321  3 Si 2.42-2.50, 2 Al 2.50
7 Pd 0.0000 0.0000 0.0000  4 Si 2.48
8 Pm 0.0000 0.5000 0.7507  8 Pd 3.23-3.29, 6 Si 3.24-3.30, 2 Al 3.30
9 Pm 0.5000 0.0000 0.2493  8 Pd 3.23-3.29, 6 Si 3.24-3.30, 2 Al 3.30
10 Al 0.5000 0.5000 0.5000  4 Pd 2.50

Calculated values
- total energy (eV/atom) = -5.952

Material: PmAl2SnPd4
Method: DFT, PBE-GGA
State: relaxed

Cell: 4.3356 4.3356 9.5543 Å, 76.89 76.89 60.00°
Closest atoms and distances in Å follow each position.
Positions (direct):
1 Al 0.2489 0.2489 0.2534  6 Pd 2.55-2.70
2 Al 0.7511 0.7511 0.7466  6 Pd 2.55-2.70
3 Pm 0.0000 0.0000 0.0000  8 Pd 3.11-3.36, 6 Al 3.42
4 Sn 0.5000 0.5000 0.5000  8 Pd 2.77-2.80
5 Pd 0.6000 0.6000 0.1999  3 Al 2.55, 1 Sn 2.77
6 Pd 0.4000 0.4000 0.8001  3 Al 2.55, 1 Sn 2.77
7 Pd 0.1215 0.1215 0.6356  3 Al 2.70, 3 Sn 2.80, 3 Pd 2.93
8 Pd 0.8785 0.8785 0.3644  3 Al 2.70, 3 Sn 2.80, 3 Pd 2.93

Calculated values
- ΔE_f (eV/atom) = -0.70
- total energy (eV/atom) = -5.327

Material: PmAlSnPd
Method: DFT, PBE-GGA
State: relaxed

Cell: 4.9620 4.9620 4.9620 Å, 60.00 60.00 60.00°
Closest atoms and distances in Å follow each position.
Positions (direct):
1 Pm 0.2500 0.2500 0.2500  4 Al 3.04, 4 Pd 3.04
2 Al 0.0000 0.0000 0.0000  4 Sn 3.04, 4 Pm 3.04
3 Pd 0.5000 0.5000 0.5000  4 Pm 3.04, 4 Sn 3.04
4 Sn 0.7500 0.7500 0.7500  4 Pd 3.04, 4 Al 3.04

Calculated values
- ΔE_f (eV/atom) = -0.50
- total energy (eV/atom) = -4.921

Material: Pm2Al6TcPd
Method: DFT, PBE-GGA
State: relaxed

Cell: 6.6042 6.7334 6.7256 Å, 58.77 60.66 90.01°
Closest atoms and distances in Å follow each position.
Positions (direct):
1 Pd 0.5000 0.5000 0.0000  6 Al 2.45
2 Al 0.6651 0.7502 0.0863  1 Tc 2.41, 1 Pd 2.45
3 Al 0.7512 0.6650 0.4987  1 Tc 2.41, 1 Pd 2.45
4 Al 0.7506 0.2492 0.9145  1 Tc 2.41, 1 Pd 2.45
5 Al 0.2488 0.3350 0.5013  1 Tc 2.41, 1 Pd 2.45
6 Al 0.3349 0.2498 0.9137  1 Tc 2.41, 1 Pd 2.45
7 Al 0.2494 0.7508 0.0855  1 Tc 2.41, 1 Pd 2.45
8 Tc 0.0000 0.0000 0.0000  6 Al 2.41
9 Pm 0.7896 0.2108 0.4226  12 Al 3.34-3.51, 1 Tc 3.51
10 Pm 0.2104 0.7892 0.5774  12 Al 3.34-3.51, 1 Tc 3.51

Calculated values
- ΔE_f (eV/atom) = -0.39
- total energy (eV/atom) = -5.138

Material: PmAlTlPd
Method: DFT, PBE-GGA
State: relaxed

Cell: 4.9943 4.9943 4.9943 Å, 60.00 60.00 60.00°
Closest atoms and distances in Å follow each position.
Positions (direct):
1 Pd 0.7500 0.7500 0.7500  4 Pm 3.06, 4 Al 3.06
2 Pm 0.0000 0.0000 0.0000  4 Pd 3.06, 4 Tl 3.06
3 Al 0.5000 0.5000 0.5000  4 Pd 3.06, 4 Tl 3.06
4 Tl 0.2500 0.2500 0.2500  4 Al 3.06, 4 Pm 3.06

Calculated values
- ΔE_f (eV/atom) = -0.39
- total energy (eV/atom) = -4.406

Material: PmTmAl2Pd5
Method: DFT, PBE-GGA
State: relaxed

Cell: 4.2411 4.2411 9.2555 Å, 90.00 90.00 90.00°
Closest atoms and distances in Å follow each position.
Positions (direct):
1 Pd 0.5000 0.0000 0.2711  2 Al 2.45
2 Pd 0.5000 0.5000 0.5000  8 Pd 3.00, 4 Pm 3.00, 2 Al 3.35
3 Pd 0.0000 0.5000 0.2711  2 Al 2.45
4 Pd 0.0000 0.5000 0.7289  2 Al 2.45
5 Pd 0.5000 0.0000 0.7289  2 Al 2.45
6 Al 0.5000 0.5000 0.8620  4 Pd 2.45, 1 Al 2.55
7 Al 0.5000 0.5000 0.1380  4 Pd 2.45, 1 Al 2.55
8 Tm 0.0000 0.0000 0.0000  8 Al 3.26, 8 Pd 3.29
9 Pm 0.0000 0.0000 0.5000  12 Pd 3.00

Calculated values
- ΔE_f (eV/atom) = -0.80
- total energy (eV/atom) = -5.545

Material: PmAlZnPd
Method: DFT, PBE-GGA
State: relaxed

Cell: 4.4823 4.4845 5.3604 Å, 114.77 90.00 119.98°
Closest atoms and distances in Å follow each position.
Positions (direct):
1 Zn 0.3989 0.7977 0.8391  3 Al 2.79, 3 Pd 2.83-2.84, 4 Pm 3.01-3.09
2 Pd 0.8145 0.6290 0.0853  3 Al 2.59, 3 Zn 2.83-2.84, 1 Pm 2.84
3 Pm 0.6125 0.2249 0.4796  3 Pd 2.84-3.18, 4 Zn 3.01-3.09
4 Al 0.1405 0.2810 0.0633  3 Pd 2.59, 3 Zn 2.79

Calculated values
- ΔE_f (eV/atom) = -0.61
- relative energy among the computed polymorphs (meV per atom) = 0
- total energy (eV/atom) = -4.350

Material: Pm2AlZnPd6
Method: DFT, PBE-GGA
State: relaxed

Cell: 7.3012 8.3427 6.1102 Å, 55.09 43.35 80.34°
Closest atoms and distances in Å follow each position.
Positions (direct):
1 Al 0.5000 0.5000 0.0000  6 Pd 2.45-2.68
2 Pd 0.7842 0.8097 0.7524  1 Al 2.46, 1 Pd 2.75
3 Pd 0.1933 0.7251 0.1910  1 Zn 2.62, 1 Al 2.68, 5 Pd 2.84-2.89
4 Pd 0.7408 0.5957 0.3562  1 Al 2.45, 1 Zn 2.73
5 Pd 0.2592 0.4043 0.6438  1 Al 2.45, 1 Zn 2.73
6 Pd 0.2158 0.1903 0.2476  1 Al 2.46, 1 Pd 2.75
7 Pd 0.8067 0.2749 0.8090  1 Zn 2.62, 1 Al 2.68, 5 Pd 2.84-2.89
8 Zn 0.0000 0.0000 0.0000  6 Pd 2.62-2.84
9 Pm 0.3492 0.8135 0.5035  8 Pd 2.90-3.19, 1 Zn 3.19
10 Pm 0.6508 0.1865 0.4965  8 Pd 2.90-3.19, 1 Zn 3.19

Calculated values
- ΔE_f (eV/atom) = -0.67
- total energy (eV/atom) = -5.241